## Sr2LaOs (PBE)

Data for an optimized crystal structure of Sr2LaOs.

D(E_F) = 1.176 states/eV/atom
magnetic moment = 0.0 μB/f.u.
energy = -4.692 eV/atom
ΔH_f (0 K) = 0.189 eV per atom
polymorph energy (0 for the lowest one) = 0.0 meV per atom

Cell: 3.859 4.352 17.812 Å, 90.00 90.00 90.00°
Space group Amm2 (No. 38)
Asymmetric unit:
Sr1 0.000 0.000 0.000 (multiplicity 2)
Sr2 0.500 0.000 0.315 (multiplicity 2)
La1 0.000 0.000 0.666 (multiplicity 2)
Os1 0.500 0.000 0.140 (multiplicity 2)